A relaxed CdOs crystal. Source: Alexandria, functional PBE.

Computed properties:
* energy of formation from the pure elements: 0.31 eV per atom
* E: -5.76 eV per atom
* DOS at the Fermi energy: 0.3299 states/eV per atom

Cell: 2.849 2.849 9.741 Å, 90.00 90.00 120.00°
Positions (direct):
1 Os 0.000 0.000 0.522
2 Os 0.333 0.667 0.728
3 Cd 0.000 0.000 0.983
4 Cd 0.333 0.667 0.267